# ScB2PPd | Alexandria | PBE | optimized geometry
data_ScB2PPd
_cell_length_a 3.963
_cell_length_b 5.482
_cell_length_c 3.963
_cell_angle_alpha 90.00
_cell_angle_beta 90.00
_cell_angle_gamma 90.00
_symmetry_space_group_name_H-M 'P 1'
_symmetry_Int_Tables_number 1
loop_
_symmetry_equiv_pos_as_xyz
'x,y,z'
loop_
_atom_site_label
_atom_site_type_symbol
_atom_site_fract_x
_atom_site_fract_y
_atom_site_fract_z
Sc1 Sc 0.000 0.500 0.000
P1 P 0.500 0.500 0.500
B1 B 0.000 0.000 0.500
B2 B 0.500 0.000 0.000
Pd1 Pd 0.000 0.000 0.000
# Space group: P4/mmm, No. 123
# Uncorrected energy (eV/atom): -5.56